NaLiB | Alexandria via LeMat-Bulk | PBE-GGA | optimized geometry; energy above the lowest structure with this stoichiometry = 24.6 meV per atom; ΔH_f (0 K) = 0.91 eV/f.u.
1.0
4.558 0.000 -0.009
0.000 8.892 0.000
-2.543 0.000 5.560
Li B Na
4 4 4
direct
0.781 0.000 0.694 Li
0.782 0.000 0.193 Li
0.782 0.500 0.693 Li
0.781 0.500 0.194 Li
0.205 0.500 0.554 B
0.360 0.000 0.332 B
0.205 0.000 0.054 B
0.360 0.500 0.832 B
0.281 0.295 0.193 Na
0.281 0.705 0.193 Na
0.281 0.795 0.693 Na
0.281 0.205 0.693 Na